KTbV2O8 PBE with a Hubbard U optimized geometry; DFT total energy = -6.985 eV per atom; total moment = 2.02 Bohr magnetons per cell
1.0
5.9150 0.0000 0.0000
-2.9575 5.1226 0.0000
0.0000 0.0000 7.7088
O V K Tb
8 2 1 1
Cartesian
0.0000 3.4151 4.0111 O
0.0000 1.7628 6.2876 O
1.4309 4.2412 6.2876 O
2.9575 3.3597 1.4212 O
-1.4309 4.2412 6.2876 O
1.5267 0.8814 1.4212 O
2.9575 1.7075 3.6977 O
4.3884 0.8814 1.4212 O
0.0000 3.4151 5.7270 V
2.9575 1.7075 1.9818 V
0.0000 0.0000 3.8544 K
0.0000 0.0000 0.0000 Tb